No. 1
The following is a DFT calculation (GGA-PBE) of an optimized crystal structure of CaAlTl2In.

Cell lengths 5.710, 5.710, 5.926 Å; angles 90.00, 90.00, 90.00 degrees
Element x y z (fractional)
Ca  0.000  0.000  0.000
Al  0.500  0.500  0.000
Tl  0.000  0.500  0.500
Tl  0.500  0.000  0.500
In  0.000  0.000  0.500

Output
formation enthalpy at 0 K: 0.496 eV/atom


No. 2
The following is a DFT calculation (GGA-PBE) of an optimized crystal structure of Nd4USb5.

Cell lengths 7.781, 7.781, 7.781 Å; angles 99.60, 99.60, 131.78 degrees
Element x y z (fractional)
Nd  0.097  0.301  0.398
Nd  0.301  0.903  0.204
Nd  0.699  0.097  0.796
Nd  0.903  0.699  0.602
U  0.500  0.500  0.000
Sb  0.000  0.000  0.000
Sb  0.207  0.598  0.805
Sb  0.402  0.207  0.609
Sb  0.598  0.793  0.391
Sb  0.793  0.402  0.195

Output
formation energy (no corrections): -95 kJ per mole of atoms


No. 3
The following is a DFT calculation (GGA-PBE) of an optimized crystal structure of TbTmMgAg.

Cell lengths 7.385, 7.385, 7.385 Å; angles 90.00, 90.00, 90.00 degrees
Element x y z (fractional)
Tb  0.000  0.000  0.000
Tb  0.000  0.500  0.500
Tb  0.500  0.000  0.500
Tb  0.500  0.500  0.000
Tm  0.000  0.000  0.500
Tm  0.000  0.500  0.000
Tm  0.500  0.000  0.000
Tm  0.500  0.500  0.500
Mg  0.250  0.250  0.750
Mg  0.250  0.750  0.250
Mg  0.750  0.250  0.250
Mg  0.750  0.750  0.750
Ag  0.250  0.250  0.250
Ag  0.250  0.750  0.750
Ag  0.750  0.250  0.750
Ag  0.750  0.750  0.250

Output
formation enthalpy at 0 K: -0.145 eV/atom


D(E_F) (states/eV/cell)
4.22 9.56 16.53